A geometry-optimized NdAsPb structure, computed with PBE-GGA.

Results
* formation enthalpy at 0 K: -811 meV per atom
* calculated total energy: -5.186 eV/atom
* symmetry: No. 12

a = 6.0334 Å, b = 4.2664 Å, c = 9.9632 Å
α = 97.03°, β = 90.00°, γ = 135.00°
Positions (direct):
Pb  0.7630  0.5259  0.5633
As  0.6982  0.3965  0.8523
Nd  0.7964  0.5928  0.1524
Pb  0.2370  0.4741  0.4367
As  0.3018  0.6035  0.1477
Nd  0.2036  0.4072  0.8476